[1]
## Ac2TbAgS5 (PBE)

Data for a relaxed Ac2TbAgS5 crystal.

It has space group Cmc2_1 (No. 36), with a = 4.145 Å, b = 17.237 Å, c = 12.380 Å, α = 90.00°, β = 90.00° and γ = 90.00°. The distinct sites, in fractional coordinates, are Ac at (0.000, 0.111, 0.000), Ac at (0.000, 0.126, 0.622), Tb at (0.000, 0.195, 0.322), Ag at (0.000, 0.458, 0.779), S at (0.000, 0.048, 0.389), S at (0.000, 0.289, 0.975), S at (0.000, 0.306, 0.668), S at (0.000, 0.355, 0.316) and S at (0.000, 0.498, 0.089).

The value obtained for the uncorrected formation energy is -1.802 eV per atom. The value obtained for the volume is 221.1 Å³/f.u. For the electronic total energy, the calculation gives -5.839 eV per atom.

---

[2]
## Cu2SeS3 (PBE)

Data for a relaxed Cu2SeS3 crystal.

It has space group Cc (No. 9), with a = 6.368 Å, b = 10.781 Å, c = 7.213 Å, α = 90.00°, β = 108.90° and γ = 90.00°. The distinct sites, in fractional coordinates, are Cu at (0.000, 0.060, 0.000), Cu at (0.038, 0.261, 0.517), Se at (0.015, 0.378, 0.001), S at (0.375, 0.057, 0.068), S at (0.395, 0.398, 0.159) and S at (0.413, 0.275, 0.677).

The value obtained for the uncorrected formation energy is -0.035 eV per atom. The value obtained for the volume is 117.1 Å³/f.u. For the electronic total energy, the calculation gives -4.045 eV per atom.

---

Question: The highest electronic total energy belongs to which entry?
Answer: Cu2SeS3